14
Lattice="6.8353 0.0000 0.0000 0.0000 6.7227 0.0000 -2.7090 0.0000 9.1835" Properties=species:S:1:pos:R:3 comment="RbBaMnS4, relaxed, DFT PBE" space_group="P2_1/m, No. 11" formation_energy_uncorrected_mev_per_atom=-1125 pbc="T T T"
Rb 0.2921 1.6807 3.9873
Rb 3.8342 5.0420 5.1962
Ba -0.7598 1.6807 8.8450
Ba 4.8861 5.0420 0.3385
Mn 1.5818 5.0420 1.8785
Mn 2.5445 1.6807 7.3050
S -0.1928 5.0420 3.0084
S -1.4716 5.0420 8.9569
S 1.3372 0.0064 6.8878
S 1.3372 3.3550 6.8878
S 2.7891 3.3677 2.2956
S 2.7891 6.7163 2.2956
S 5.5979 1.6807 0.2265
S 4.3191 1.6807 6.1751